# MnSiSb3

A relaxed MnSiSb3 crystal (PBE-GGA, the Alexandria database).

Lattice parameters (Å, degrees): 4.924 4.924 4.924 90.00 90.00 90.00
Fractional positions:
1 Mn 0.000 0.000 0.000
2 Sb 0.000 0.000 0.500
3 Sb 0.000 0.500 0.000
4 Sb 0.500 0.000 0.000
5 Si 0.500 0.500 0.500

E above lowest polymorph in eV/atom: 0.000
Raw formation energy in eV per formula unit: 3.33



# Nb6Si3H

A relaxed Nb6Si3H crystal (PBE-GGA, the Alexandria database).

Lattice parameters (Å, degrees): 5.560 6.593 8.524 90.00 90.24 90.00
Fractional positions:
1 Nb 0.851 0.979 0.232
2 Nb 0.162 0.344 0.450
3 Nb 0.351 0.521 0.732
4 Nb 0.872 0.687 0.946
5 Nb 0.662 0.156 0.950
6 Nb 0.338 0.844 0.050
7 Nb 0.128 0.313 0.054
8 Nb 0.628 0.187 0.554
9 Nb 0.149 0.021 0.768
10 Nb 0.372 0.813 0.446
11 Nb 0.838 0.656 0.550
12 Nb 0.649 0.479 0.268
13 Si 0.500 0.500 0.000
14 Si 0.000 0.000 0.500
15 Si 0.580 0.873 0.745
16 Si 0.420 0.127 0.255
17 Si 0.920 0.373 0.755
18 Si 0.080 0.627 0.245
19 H 0.000 0.000 0.000
20 H 0.500 0.500 0.500

E in eV/cell: -166.8



# Rb3Tl2Hg3

A relaxed Rb3Tl2Hg3 crystal (PBE-GGA, the Alexandria database).

Lattice parameters (Å, degrees): 7.383 10.041 17.696 90.00 90.00 90.00
Fractional positions:
1 Rb 0.610 0.307 0.250
2 Rb 0.878 0.539 0.606
3 Rb 0.622 0.039 0.606
4 Rb 0.390 0.693 0.750
5 Rb 0.378 0.961 0.106
6 Rb 0.890 0.807 0.250
7 Rb 0.122 0.461 0.106
8 Rb 0.110 0.193 0.750
9 Rb 0.122 0.461 0.394
10 Rb 0.622 0.039 0.894
11 Rb 0.378 0.961 0.394
12 Rb 0.878 0.539 0.894
13 Tl 0.608 0.599 0.098
14 Tl 0.608 0.599 0.402
15 Tl 0.892 0.099 0.402
16 Tl 0.108 0.901 0.902
17 Tl 0.392 0.401 0.598
18 Tl 0.892 0.099 0.098
19 Tl 0.108 0.901 0.598
20 Tl 0.392 0.401 0.902
21 Hg 0.632 0.313 0.463
22 Hg 0.632 0.313 0.037
23 Hg 0.895 0.836 0.750
24 Hg 0.368 0.687 0.537
25 Hg 0.868 0.813 0.037
26 Hg 0.868 0.813 0.463
27 Hg 0.605 0.336 0.750
28 Hg 0.105 0.164 0.250
29 Hg 0.395 0.664 0.250
30 Hg 0.368 0.687 0.963
31 Hg 0.132 0.187 0.537
32 Hg 0.132 0.187 0.963

E above lowest polymorph in eV/atom: 0.010
Formation energy in kJ per mole of atoms: -16.2



# PbCN2

A relaxed PbCN2 crystal (PBE-GGA, the Alexandria database).

Lattice parameters (Å, degrees): 3.910 5.591 12.520 90.00 90.00 90.00
Fractional positions:
1 N 0.528 0.421 0.859
2 N 0.028 0.079 0.359
3 N 0.528 0.921 0.641
4 N 0.528 0.326 0.560
5 N 0.028 0.674 0.440
6 N 0.028 0.579 0.141
7 N 0.028 0.174 0.060
8 N 0.528 0.826 0.940
9 Pb 0.028 0.118 0.872
10 Pb 0.528 0.382 0.372
11 Pb 0.528 0.882 0.128
12 Pb 0.028 0.618 0.628
13 C 0.528 0.119 0.599
14 C 0.528 0.619 0.901
15 C 0.028 0.881 0.401
16 C 0.028 0.381 0.099

E above lowest polymorph in eV/atom: 0.002
Raw formation energy in eV per formula unit: 0.44



# MgZnPb2

A relaxed MgZnPb2 crystal (PBE-GGA, the Alexandria database).

Lattice parameters (Å, degrees): 3.476 3.476 8.398 90.00 90.00 90.00
Fractional positions:
1 Pb 0.000 0.000 0.010
2 Pb 0.000 0.000 0.490
3 Mg 0.500 0.500 0.750
4 Zn 0.500 0.500 0.250

E above lowest polymorph in eV/atom: 0.053
Formation energy in kJ per mole of atoms: 6.1



# Sr3Li7Cd4

A relaxed Sr3Li7Cd4 crystal (PBE-GGA, the Alexandria database).

Lattice parameters (Å, degrees): 4.969 9.150 9.169 68.68 74.28 74.24
Fractional positions:
1 Cd 0.880 0.906 0.333
2 Cd 0.666 0.475 0.194
3 Cd 0.334 0.525 0.806
4 Cd 0.120 0.094 0.667
5 Li 0.681 0.165 0.473
6 Li 0.319 0.835 0.527
7 Li 0.497 0.792 0.215
8 Li 0.503 0.208 0.785
9 Li 0.000 0.000 0.000
10 Li 0.134 0.645 0.088
11 Li 0.866 0.355 0.912
12 Sr 0.000 0.500 0.500
13 Sr 0.302 0.201 0.196
14 Sr 0.698 0.799 0.804

Formation energy in kJ per mole of atoms: -17.3



# TbNdHo4

A relaxed TbNdHo4 crystal (PBE-GGA, the Alexandria database).

Lattice parameters (Å, degrees): 6.184 6.184 12.055 104.80 104.80 60.02
Fractional positions:
1 Ho 0.336 0.832 0.000
2 Ho 0.251 0.416 0.750
3 Ho 0.416 0.251 0.250
4 Ho 0.584 0.749 0.750
5 Ho 0.832 0.336 0.500
6 Ho 0.749 0.584 0.250
7 Ho 0.664 0.168 0.000
8 Ho 0.168 0.664 0.500
9 Nd 0.081 0.919 0.250
10 Nd 0.919 0.081 0.750
11 Tb 0.000 0.500 0.000
12 Tb 0.500 0.000 0.500

E above lowest polymorph in eV/atom: 0.015
Formation energy in kJ per mole of atoms: 0.8



# CrCdFe2

A relaxed CrCdFe2 crystal (PBE-GGA, the Alexandria database).

Lattice parameters (Å, degrees): 3.372 4.071 4.113 90.00 90.00 90.00
Fractional positions:
1 Fe 0.000 0.000 0.000
2 Fe 0.500 0.500 0.000
3 Cd 0.500 0.000 0.500
4 Cr 0.000 0.500 0.500

Formation energy in kJ per mole of atoms: 54.1



# TlSbTe2

A relaxed TlSbTe2 crystal (PBE-GGA, the Alexandria database).

Lattice parameters (Å, degrees): 9.532 7.105 3.143 64.89 107.63 137.55
Fractional positions:
1 Te 0.500 0.000 0.500
2 Te 0.000 0.000 0.000
3 Sb 0.500 0.500 0.000
4 Tl 0.000 0.500 0.500

E above lowest polymorph in eV/atom: 0.189
Raw formation energy in eV per formula unit: -0.17



# Ho3Si8Rh3

A relaxed Ho3Si8Rh3 crystal (PBE-GGA, the Alexandria database).

Lattice parameters (Å, degrees): 4.141 7.695 8.446 64.40 75.81 74.39
Fractional positions:
1 Si 0.363 0.023 0.251
2 Si 0.136 0.569 0.159
3 Si 0.637 0.977 0.749
4 Si 0.517 0.676 0.289
5 Si 0.864 0.431 0.841
6 Si 0.113 0.150 0.624
7 Si 0.887 0.850 0.376
8 Si 0.483 0.324 0.711
9 Ho 0.000 0.000 0.000
10 Ho 0.702 0.245 0.351
11 Ho 0.298 0.755 0.649
12 Rh 0.678 0.658 0.986
13 Rh 0.322 0.342 0.014
14 Rh 0.000 0.500 0.500

E above lowest polymorph in eV/atom: 0.000
Raw formation energy in eV per formula unit: -9.84



# Mn2Ag2Se

A relaxed Mn2Ag2Se crystal (PBE-GGA, the Alexandria database).

Lattice parameters (Å, degrees): 4.938 4.938 4.174 90.00 90.00 90.00
Fractional positions:
1 Se 0.500 0.500 0.500
2 Mn 0.000 0.000 0.000
3 Mn 0.000 0.000 0.500
4 Ag 0.000 0.500 0.000
5 Ag 0.500 0.000 0.000

Raw formation energy in eV per formula unit: 5.38



# TbPmCu4

A relaxed TbPmCu4 crystal (PBE-GGA, the Alexandria database).

Lattice parameters (Å, degrees): 5.306 5.306 5.306 60.00 60.00 60.00
Fractional positions:
1 Cu 0.625 0.625 0.625
2 Cu 0.625 0.124 0.625
3 Cu 0.124 0.625 0.625
4 Cu 0.625 0.625 0.124
5 Tb 0.000 0.000 0.000
6 Pm 0.250 0.250 0.250

E above lowest polymorph in eV/atom: 0.117
Formation energy in kJ per mole of atoms: -12.3



Let's list total moment in order: 0.000, 0.000, 0.000, 0.000, 0.000, 0.000, 0.000, 1.730, 0.000, 0.000, 1.006, 0.000 μB per atom.